No. 1
First-principles (PBE-GGA) data for an optimized crystal structure of KErAuSe2, as listed in Alexandria via LeMat-Bulk.

Summary:
As for the density of states at the Fermi level: 4.8 states/eV per cell. The value obtained for the electronic total energy is -42.72 eV/cell. The raw formation energy comes out at -1.0908 eV/atom.

abc: 7.652 4.925 7.867
angles: 90.00 97.75 90.00
Fractional positions:
1 K 0.000 0.116 0.250
2 K 0.000 0.884 0.750
3 Er 0.500 0.494 0.750
4 Er 0.500 0.506 0.250
5 Au 0.500 0.000 0.000
6 Au 0.500 0.000 0.500
7 Se 0.249 0.368 0.969
8 Se 0.249 0.632 0.469
9 Se 0.751 0.368 0.531
10 Se 0.751 0.632 0.031

---

No. 2
First-principles (PBE-GGA) data for an optimized crystal structure of KEr2AuSe4, as listed in Alexandria via LeMat-Bulk.

Summary:
The value obtained for the electronic total energy is -77.58 eV/cell. The raw formation energy comes out at -1.4189 eV/atom.

abc: 7.321 7.321 14.670
angles: 90.00 90.00 147.13
Fractional positions:
1 K 0.127 0.873 0.750
2 K 0.873 0.127 0.250
3 Er 0.370 0.630 0.571
4 Er 0.370 0.630 0.929
5 Er 0.630 0.370 0.071
6 Er 0.630 0.370 0.429
7 Au 0.157 0.843 0.250
8 Au 0.843 0.157 0.750
9 Se 0.000 0.000 0.000
10 Se 0.000 0.000 0.500
11 Se 0.264 0.736 0.102
12 Se 0.264 0.736 0.398
13 Se 0.455 0.545 0.750
14 Se 0.545 0.455 0.250
15 Se 0.736 0.264 0.602
16 Se 0.736 0.264 0.898

---

No. 3
First-principles (PBE-GGA) data for an optimized crystal structure of KEr2Te4Au, as listed in Alexandria via LeMat-Bulk.

Summary:
The value obtained for the electronic total energy is -69.72 eV/cell. The raw formation energy comes out at -1.0993 eV/atom.

abc: 7.805 7.805 15.679
angles: 90.00 90.00 147.34
Fractional positions:
1 K 0.133 0.867 0.750
2 K 0.867 0.133 0.250
3 Er 0.371 0.629 0.573
4 Er 0.371 0.629 0.927
5 Er 0.629 0.371 0.073
6 Er 0.629 0.371 0.427
7 Te 0.000 0.000 0.000
8 Te 0.000 0.000 0.500
9 Te 0.266 0.734 0.105
10 Te 0.266 0.734 0.395
11 Te 0.456 0.544 0.750
12 Te 0.544 0.456 0.250
13 Te 0.734 0.266 0.605
14 Te 0.734 0.266 0.895
15 Au 0.156 0.844 0.250
16 Au 0.844 0.156 0.750

---

No. 4
First-principles (PBE-GGA) data for an optimized crystal structure of La3ErAu2, as listed in Alexandria via LeMat-Bulk.

Summary:
For the energy of formation, the calculation gives -3.35 eV/f.u. As for the density of states at the Fermi level: 11.6 states/eV per cell. The value obtained for the electronic total energy is -58.51 eV/cell.

abc: 5.172 9.475 7.201
angles: 90.00 90.00 90.00
Fractional positions:
1 La 0.000 0.076 0.000
2 La 0.000 0.339 0.346
3 La 0.000 0.661 0.846
4 La 0.000 0.924 0.500
5 La 0.500 0.165 0.659
6 La 0.500 0.835 0.159
7 Er 0.500 0.428 0.007
8 Er 0.500 0.572 0.507
9 Au 0.000 0.352 0.778
10 Au 0.000 0.648 0.278
11 Au 0.500 0.163 0.230
12 Au 0.500 0.837 0.730

---

No. 5
First-principles (PBE-GGA) data for an optimized crystal structure of LaEr2Au, as listed in Alexandria via LeMat-Bulk.

Summary:
For the energy of formation, the calculation gives -1.18 eV/f.u. The value obtained for the energy relative to the lowest polymorph listed for this composition is 45 kJ/mol of formula units. As for the density of states at the Fermi level: 4.9 states/eV per cell. The value obtained for the electronic total energy is -18.51 eV/cell.

abc: 10.125 10.125 10.125
angles: 21.51 21.51 21.51
Fractional positions:
1 La 0.000 0.000 0.000
2 Er 0.563 0.563 0.563
3 Er 0.765 0.765 0.765
4 Au 0.164 0.164 0.164

---

No. 6
First-principles (PBE-GGA) data for an optimized crystal structure of La2ErAu2, as listed in Alexandria via LeMat-Bulk.

Summary:
For the energy of formation, the calculation gives -3.33 eV/f.u. As for the density of states at the Fermi level: 11.2 states/eV per cell. The value obtained for the electronic total energy is -48.61 eV/cell.

abc: 8.374 8.374 4.014
angles: 90.00 90.00 90.00
Fractional positions:
1 La 0.168 0.332 0.000
2 La 0.332 0.832 0.000
3 La 0.668 0.168 0.000
4 La 0.832 0.668 0.000
5 Er 0.000 0.000 0.500
6 Er 0.500 0.500 0.500
7 Au 0.132 0.632 0.500
8 Au 0.368 0.132 0.500
9 Au 0.632 0.868 0.500
10 Au 0.868 0.368 0.500